Version i
The following is a PBE calculation of crystalline Mg2ZnAu6 at its relaxed geometry, from the Alexandria database.

Cell: 3.891 7.796 7.426 Å, 121.66 105.34 90.00°
Atoms (fractional coordinates):
Mg 0.655 0.655 0.310
Mg 0.345 0.345 0.690
Au 0.832 0.070 0.665
Au 0.168 0.930 0.335
Au 0.500 0.233 0.000
Au 0.832 0.595 0.665
Au 0.168 0.405 0.335
Au 0.500 0.767 0.000
Zn 0.000 0.000 0.000

Properties
**Volume**: 20.2 Å³ per atom
**Calculated density**: 11.8 g cm⁻³

***

Version ii
The following is a PBE calculation of crystalline Mg2ZnAu6 at its relaxed geometry, from the Alexandria database.

Cell: 4.209 8.638 8.638 Å, 90.00 90.00 90.00°
Atoms (fractional coordinates):
Au 0.000 0.640 0.860
Au 0.000 0.674 0.515
Au 0.500 0.826 0.015
Au 0.500 0.174 0.985
Au 0.000 0.015 0.174
Au 0.000 0.985 0.826
Au 0.500 0.515 0.326
Au 0.500 0.140 0.640
Au 0.000 0.360 0.140
Au 0.000 0.326 0.485
Au 0.500 0.485 0.674
Au 0.500 0.860 0.360
Mg 0.000 0.311 0.811
Mg 0.000 0.689 0.189
Mg 0.500 0.189 0.311
Mg 0.500 0.811 0.689
Zn 0.000 0.000 0.500
Zn 0.500 0.500 0.000

Properties
**Volume**: 17.4 Å³ per atom
**Calculated density**: 13.7 g cm⁻³

***

Question: which arrangement is favored energetically? Ranking from most to least stable: version ii, version i.

***

Version i
The following is a PBE calculation of crystalline Mg3Zn2Au3 at its relaxed geometry, from the Alexandria database.

Cell: 3.536 4.391 9.429 Å, 103.47 100.81 90.00°
Atoms (fractional coordinates):
Au 0.000 0.500 0.000
Au 0.864 0.864 0.729
Au 0.136 0.136 0.271
Zn 0.251 0.751 0.502
Zn 0.749 0.249 0.498
Mg 0.377 0.377 0.753
Mg 0.623 0.623 0.247
Mg 0.500 0.000 0.000

Properties
**Volume**: 17.5 Å³ per atom
**Calculated density**: 9.4 g cm⁻³

***

Version ii
The following is a PBE calculation of crystalline Mg3Zn2Au3 at its relaxed geometry, from the Alexandria database.

Cell: 5.286 7.986 7.986 Å, 120.00 90.00 90.00°
Atoms (fractional coordinates):
Zn 0.000 0.333 0.667
Zn 0.500 0.667 0.333
Zn 0.000 0.667 0.333
Zn 0.500 0.333 0.667
Au 0.750 0.000 0.610
Au 0.250 0.000 0.390
Au 0.750 0.390 0.390
Au 0.750 0.610 0.000
Au 0.250 0.610 0.610
Au 0.250 0.390 0.000
Mg 0.250 0.252 0.252
Mg 0.250 0.748 0.000
Mg 0.250 0.000 0.748
Mg 0.750 0.748 0.748
Mg 0.750 0.000 0.252
Mg 0.750 0.252 0.000

Properties
**Volume**: 18.2 Å³ per atom
**Calculated density**: 9.0 g cm⁻³

***

Question: which arrangement is favored energetically? Ranking from most to least stable: version ii, version i.

***

Version i
The following is a PBE calculation of crystalline Mg3Zn2Au at its relaxed geometry, from the Alexandria database.

Cell: 3.217 4.739 7.474 Å, 108.49 90.00 90.00°
Atoms (fractional coordinates):
Zn 0.000 0.671 0.343
Zn 0.000 0.329 0.657
Mg 0.500 0.837 0.675
Mg 0.500 0.500 0.000
Mg 0.500 0.163 0.325
Au 0.000 0.000 0.000

Properties
**Volume**: 18.0 Å³ per atom
**Calculated density**: 6.2 g cm⁻³

***

Version ii
The following is a PBE calculation of crystalline Mg3Zn2Au at its relaxed geometry, from the Alexandria database.

Cell: 3.357 3.357 9.582 Å, 90.00 90.00 90.00°
Atoms (fractional coordinates):
Au 0.500 0.500 0.500
Zn 0.500 0.500 0.838
Zn 0.500 0.500 0.162
Mg 0.000 0.000 0.335
Mg 0.000 0.000 0.665
Mg 0.000 0.000 0.000

Properties
**Volume**: 18.0 Å³ per atom
**Calculated density**: 6.2 g cm⁻³

***

Question: which arrangement is favored energetically? Ranking from most to least stable: version i, version ii.

***

Version i
The following is a PBE calculation of crystalline Mg2ZnAu4 at its relaxed geometry, from the Alexandria database.

Cell: 4.844 4.844 7.616 Å, 71.45 71.45 90.00°
Atoms (fractional coordinates):
Au 0.000 0.500 0.000
Au 0.500 0.000 0.000
Au 0.190 0.190 0.620
Au 0.810 0.810 0.380
Zn 0.000 0.000 0.000
Mg 0.381 0.381 0.238
Mg 0.619 0.619 0.762

Properties
**Volume**: 22.8 Å³ per atom
**Calculated density**: 9.4 g cm⁻³

***

Version ii
The following is a PBE calculation of crystalline Mg2ZnAu4 at its relaxed geometry, from the Alexandria database.

Cell: 4.495 4.495 7.497 Å, 80.08 80.10 63.25°
Atoms (fractional coordinates):
Mg 0.265 0.265 0.267
Mg 0.735 0.735 0.733
Au 0.104 0.105 0.633
Au 0.636 0.636 0.122
Au 0.896 0.895 0.367
Au 0.364 0.364 0.878
Zn 0.000 0.000 0.000

Properties
**Volume**: 18.9 Å³ per atom
**Calculated density**: 11.3 g cm⁻³

***

Question: which arrangement is favored energetically? Ranking from most to least stable: version ii, version i.

***

Version i
The following is a PBE calculation of crystalline MgZn2Au6 at its relaxed geometry, from the Alexandria database.

Cell: 4.123 7.589 7.115 Å, 122.23 106.85 90.00°
Atoms (fractional coordinates):
Au 0.834 0.109 0.669
Au 0.166 0.440 0.331
Au 0.834 0.560 0.669
Au 0.500 0.730 0.000
Au 0.166 0.891 0.331
Au 0.500 0.270 0.000
Mg 0.000 0.000 0.000
Zn 0.688 0.688 0.376
Zn 0.312 0.312 0.624

Properties
**Volume**: 19.7 Å³ per atom
**Calculated density**: 12.5 g cm⁻³

***

Version ii
The following is a PBE calculation of crystalline MgZn2Au6 at its relaxed geometry, from the Alexandria database.

Cell: 4.596 4.589 8.501 Å, 90.11 90.00 120.04°
Atoms (fractional coordinates):
Au 0.000 0.000 0.818
Au 0.333 0.667 0.051
Au 0.667 0.333 0.949
Au 0.333 0.666 0.396
Au 0.000 0.000 0.182
Au 0.667 0.334 0.604
Mg 0.000 0.000 0.500
Zn 0.666 0.333 0.274
Zn 0.334 0.667 0.726

Properties
**Volume**: 17.2 Å³ per atom
**Calculated density**: 14.3 g cm⁻³

***

Question: which arrangement is favored energetically? Ranking from most to least stable: version ii, version i.

***

Version i
The following is a PBE calculation of crystalline Mg2Zn3Au4 at its relaxed geometry, from the Alexandria database.

Cell: 4.177 4.883 8.590 Å, 77.08 90.40 64.00°
Atoms (fractional coordinates):
Zn 0.652 0.695 0.559
Zn 0.348 0.305 0.441
Zn 0.000 0.000 0.000
Au 0.652 0.696 0.886
Au 0.033 0.932 0.340
Au 0.348 0.304 0.114
Au 0.967 0.068 0.660
Mg 0.685 0.629 0.220
Mg 0.315 0.371 0.780

Properties
**Volume**: 16.9 Å³ per atom
**Calculated density**: 11.3 g cm⁻³

***

Version ii
The following is a PBE calculation of crystalline Mg2Zn3Au4 at its relaxed geometry, from the Alexandria database.

Cell: 5.418 8.513 7.574 Å, 90.00 110.96 90.00°
Atoms (fractional coordinates):
Au 0.292 0.250 0.085
Au 0.311 0.487 0.622
Au 0.689 0.513 0.378
Au 0.792 0.250 0.085
Au 0.708 0.750 0.915
Au 0.189 0.987 0.378
Au 0.811 0.013 0.622
Au 0.208 0.750 0.915
Zn 0.488 0.250 0.475
Zn 0.512 0.750 0.525
Zn 0.000 0.000 0.000
Zn 0.988 0.250 0.475
Zn 0.012 0.750 0.525
Zn 0.500 0.500 0.000
Mg 0.893 0.440 0.786
Mg 0.393 0.060 0.786
Mg 0.107 0.560 0.214
Mg 0.607 0.940 0.214

Properties
**Volume**: 18.1 Å³ per atom
**Calculated density**: 10.5 g cm⁻³

***

Question: which arrangement is favored energetically? Ranking from most to least stable: version i, version ii.